(1)
The following is a GGA-PBE calculation of HoAgS2 after structural relaxation, from the Alexandria database.

For the calculated total energy, the calculation gives -5.24 eV per atom. As for the uncorrected formation energy: -1.32 eV per atom.

```
HoAgS2
1.0
7.614 0.000 0.000
0.000 7.613 0.000
-0.001 0.000 12.605
Ho Ag S
8 8 16
direct
0.000 0.000 0.247 Ho
0.000 0.500 0.753 Ho
0.249 0.249 0.503 Ho
0.251 0.748 0.003 Ho
0.500 0.497 0.253 Ho
0.500 0.997 0.747 Ho
0.749 0.248 0.997 Ho
0.751 0.749 0.497 Ho
0.013 0.518 0.318 Ag
0.232 0.260 0.068 Ag
0.270 0.736 0.568 Ag
0.487 0.479 0.818 Ag
0.513 0.979 0.182 Ag
0.730 0.236 0.432 Ag
0.768 0.760 0.932 Ag
0.987 0.018 0.682 Ag
0.019 0.018 0.029 S
0.024 0.523 0.535 S
0.226 0.272 0.285 S
0.230 0.229 0.721 S
0.270 0.768 0.221 S
0.275 0.725 0.785 S
0.476 0.474 0.035 S
0.480 0.979 0.529 S
0.520 0.479 0.471 S
0.524 0.974 0.965 S
0.725 0.225 0.215 S
0.730 0.268 0.779 S
0.770 0.729 0.279 S
0.774 0.772 0.715 S
0.976 0.023 0.465 S
0.981 0.518 0.971 S
```

(2)
The following is a GGA-PBE calculation of Ba2MoIr after structural relaxation, from the Alexandria database.

For the calculated total energy, the calculation gives -5.47 eV per atom.

```
Ba2MoIr
1.0
-1.800 1.905 9.194
1.800 -1.905 9.194
1.800 1.905 -9.194
Ba Mo Ir
2 1 1
direct
0.148 0.148 0.000 Ba
0.852 0.852 0.000 Ba
0.500 0.000 0.500 Mo
0.000 0.500 0.500 Ir
```

(3)
The following is a GGA-PBE calculation of ZrB2Os after structural relaxation, from the Alexandria database.

For the calculated total energy, the calculation gives -8.33 eV per atom.

```
ZrB2Os
1.0
-2.009 2.009 7.092
2.009 -2.009 7.092
2.009 2.009 -7.092
Zr B Os
2 4 2
direct
0.375 0.625 0.750 Zr
0.625 0.375 0.250 Zr
0.000 0.000 0.000 B
0.000 0.000 0.500 B
0.000 0.500 0.000 B
0.500 0.000 0.500 B
0.125 0.875 0.250 Os
0.875 0.125 0.750 Os
```